First-principles (PBE+U) data for crystalline NaSrSmWO6 at its relaxed geometry, as listed in Alexandria via LeMat-Bulk.

Calculated values
**SG**: F-43m (216)
**Uncorrected energy**: -7.02 eV per atom
**Magnetic moment**: 0.00 μB per formula unit

Cell lengths 5.9786, 5.9786, 5.9786 Å; angles 60.00, 60.00, 60.00 degrees
Positions (direct):
Na (0.2500, 0.2500, 0.2500)
Sr (0.7500, 0.7500, 0.7500)
Sm (0.0000, 0.0000, 0.0000)
W (0.5000, 0.5000, 0.5000)
O (0.2696, 0.7304, 0.2696)
O (0.7304, 0.2696, 0.7304)
O (0.2696, 0.7304, 0.7304)
O (0.7304, 0.2696, 0.2696)
O (0.2696, 0.2696, 0.7304)
O (0.7304, 0.7304, 0.2696)